Record 1
Computed, not measured: NdMgPb3 after structural relaxation at the PBE level of DFT.

a = 4.937 Å, b = 6.655 Å, c = 9.471 Å
α = 90.00°, β = 90.00°, γ = 90.00°
Atoms (fractional coordinates):
Nd  0.500  0.000  0.093
Nd  0.000  0.500  0.907
Pb  0.500  0.254  0.714
Pb  0.000  0.000  0.874
Pb  0.500  0.500  0.126
Pb  0.500  0.746  0.714
Pb  0.000  0.246  0.286
Pb  0.000  0.754  0.286
Mg  0.000  0.000  0.559
Mg  0.500  0.500  0.441

Results
DFT formation energy (kJ/mol of atoms): -13.5
Symmetry: No. 59

=====

Record 2
Computed, not measured: TbGa2IrRh after structural relaxation at the PBE level of DFT.

a = 4.252 Å, b = 4.252 Å, c = 5.841 Å
α = 111.34°, β = 111.34°, γ = 90.00°
Atoms (fractional coordinates):
Ga  0.376  0.376  0.751
Ga  0.624  0.624  0.249
Rh  0.250  0.750  0.500
Ir  0.750  0.250  0.500
Tb  0.000  0.000  0.000

Results
DFT formation energy (kJ/mol of atoms): -73.1
Symmetry: No. 119

=====

Record 3
Computed, not measured: AlTl2F8 after structural relaxation at the PBE level of DFT.

a = 4.622 Å, b = 5.947 Å, c = 5.947 Å
α = 75.32°, β = 74.77°, γ = 74.77°
Atoms (fractional coordinates):
F  0.769  0.882  0.882
F  0.749  0.304  0.951
F  0.231  0.118  0.118
F  0.251  0.049  0.696
F  0.251  0.696  0.049
F  0.799  0.411  0.411
F  0.201  0.589  0.589
F  0.749  0.951  0.304
Tl  0.360  0.329  0.329
Tl  0.640  0.671  0.671
Al  0.000  0.000  0.000

Results
Uncorrected energy (eV per atom): -4.515
Symmetry: No. 12

=====

Record 4
Computed, not measured: Ba5H2Pd after structural relaxation at the PBE level of DFT.

a = 6.088 Å, b = 7.477 Å, c = 15.514 Å
α = 90.00°, β = 90.00°, γ = 114.02°
Atoms (fractional coordinates):
Ba  0.669  0.338  0.937
Ba  0.961  0.922  0.618
Ba  0.722  0.444  0.250
Ba  0.331  0.662  0.437
Ba  0.039  0.078  0.118
Ba  0.039  0.078  0.382
Ba  0.331  0.662  0.063
Ba  0.278  0.556  0.750
Ba  0.669  0.338  0.563
Ba  0.961  0.922  0.882
H  0.850  0.699  0.030
H  0.150  0.301  0.970
H  0.850  0.699  0.470
H  0.150  0.301  0.530
Pd  0.220  0.440  0.250
Pd  0.780  0.560  0.750

Results
Uncorrected energy (eV per atom): -2.911
Symmetry: No. 63

=====

Record 5
Computed, not measured: Pm2PbS4 after structural relaxation at the PBE level of DFT.

a = 8.418 Å, b = 8.418 Å, c = 8.417 Å
α = 119.97°, β = 119.96°, γ = 90.07°
Atoms (fractional coordinates):
S  0.837  0.613  0.225
S  0.863  0.587  0.725
S  0.388  0.612  0.775
S  0.388  0.612  0.225
S  0.387  0.163  0.775
S  0.413  0.137  0.275
S  0.862  0.138  0.275
S  0.862  0.138  0.725
Pb  0.250  0.750  0.500
Pb  0.000  0.000  0.000
Pm  0.625  0.375  0.250
Pm  0.125  0.375  0.750
Pm  0.625  0.875  0.250
Pm  0.625  0.375  0.750

Results
Uncorrected energy (eV per atom): -5.838
Symmetry: No. 141

=====

Record 6
Computed, not measured: Cd2TeP after structural relaxation at the PBE level of DFT.

a = 3.811 Å, b = 4.651 Å, c = 5.243 Å
α = 90.00°, β = 90.00°, γ = 90.00°
Atoms (fractional coordinates):
P  0.500  0.000  0.500
Te  0.000  0.500  0.500
Cd  0.500  0.500  0.000
Cd  0.000  0.000  0.000

Results
Uncorrected energy (eV per atom): -2.243
Symmetry: No. 47

=====

Record 7
Computed, not measured: LaCo2Cu after structural relaxation at the PBE level of DFT.

a = 4.438 Å, b = 4.438 Å, c = 4.438 Å
α = 60.00°, β = 60.00°, γ = 60.00°
Atoms (fractional coordinates):
Co  0.250  0.250  0.250
Co  0.750  0.750  0.750
Cu  0.000  0.000  0.000
La  0.500  0.500  0.500

Results
DFT formation energy (kJ/mol of atoms): 28.5
Symmetry: No. 225

=====

Record 8
Computed, not measured: MgCrPd after structural relaxation at the PBE level of DFT.

a = 4.256 Å, b = 5.858 Å, c = 3.938 Å
α = 71.86°, β = 90.00°, γ = 90.00°
Site moments in Bohr magnetons follow the coordinates.
Atoms (fractional coordinates):
Pd  0.981  0.687  0.911  0.02
Pd  0.981  0.344  0.583  0.02
Mg  0.481  0.016  0.747  0.00
Mg  0.981  0.016  0.247  0.00
Cr  0.481  0.619  0.407  0.54
Cr  0.481  0.412  0.087  0.54

Results
DFT formation energy (kJ/mol of atoms): 3.1
Symmetry: No. 10

=====

Record 9
Computed, not measured: RbLa2RhO5 after structural relaxation at the PBE level of DFT.

a = 6.967 Å, b = 6.967 Å, c = 7.809 Å
α = 116.49°, β = 116.49°, γ = 90.00°
Atoms (fractional coordinates):
Rh  0.250  0.750  0.500
Rh  0.750  0.250  0.500
O  0.503  0.752  0.755
O  0.000  0.000  0.000
O  0.997  0.497  0.245
O  0.497  0.248  0.245
O  0.003  0.503  0.755
O  0.748  0.997  0.245
O  0.252  0.003  0.755
O  0.248  0.748  0.245
O  0.752  0.252  0.755
O  0.500  0.500  0.000
La  0.181  0.319  0.000
La  0.819  0.681  0.000
La  0.319  0.819  0.000
La  0.681  0.181  0.000
Rb  0.250  0.250  0.500
Rb  0.750  0.750  0.500

Results
Uncorrected energy (eV per atom): -6.995
Symmetry: No. 140

=====

Record 10
Computed, not measured: TlFeSi2 after structural relaxation at the PBE level of DFT.

a = 5.359 Å, b = 5.359 Å, c = 5.359 Å
α = 147.23°, β = 121.75°, γ = 68.47°
Site moments in Bohr magnetons follow the coordinates.
Atoms (fractional coordinates):
Fe  0.786  0.286  0.500  2.11
Si  0.218  0.718  0.500  -0.01
Si  0.986  0.986  0.000  -0.05
Tl  0.511  0.511  0.000  -0.02

Results
Uncorrected energy (eV per atom): -4.800
Symmetry: No. 44

=====

Record 11
Computed, not measured: PmPr7Ho4 after structural relaxation at the PBE level of DFT.

a = 6.067 Å, b = 9.780 Å, c = 8.686 Å
α = 62.08°, β = 69.56°, γ = 71.93°
Atoms (fractional coordinates):
Ho  0.569  0.301  0.562
Ho  0.431  0.699  0.438
Ho  0.332  0.375  0.961
Ho  0.668  0.625  0.039
Pr  0.912  0.454  0.721
Pr  0.214  0.113  0.459
Pr  0.783  0.245  0.188
Pr  0.786  0.887  0.541
Pr  0.217  0.755  0.812
Pr  0.088  0.546  0.279
Pr  0.500  0.000  0.000
Pm  0.000  0.000  0.000

Results
DFT formation energy (kJ/mol of atoms): 19.4
Symmetry: No. 12

=====

Record 12
Computed, not measured: LaSm4Al after structural relaxation at the PBE level of DFT.

a = 6.379 Å, b = 9.122 Å, c = 8.366 Å
α = 113.81°, β = 100.31°, γ = 111.78°
Atoms (fractional coordinates):
Sm  0.758  0.387  0.220
Sm  0.368  0.918  0.636
Sm  0.632  0.082  0.364
Sm  0.963  0.833  0.220
Sm  0.768  0.718  0.636
Sm  0.037  0.167  0.780
Sm  0.232  0.282  0.364
Sm  0.242  0.613  0.780
Al  0.750  0.000  0.000
Al  0.250  0.000  0.000
La  0.346  0.596  0.193
La  0.654  0.404  0.807

Results
DFT formation energy (kJ/mol of atoms): -4.0
Symmetry: No. 15

=====

Record 13
Computed, not measured: Ca5NdPt6 after structural relaxation at the PBE level of DFT.

a = 4.960 Å, b = 7.097 Å, c = 7.835 Å
α = 90.00°, β = 71.18°, γ = 90.00°
Atoms (fractional coordinates):
Nd  0.000  0.000  0.000
Pt  0.834  0.251  0.329
Pt  0.500  0.756  0.000
Pt  0.166  0.749  0.671
Pt  0.834  0.749  0.329
Pt  0.500  0.244  0.000
Pt  0.166  0.251  0.671
Ca  0.671  0.000  0.659
Ca  0.667  0.500  0.667
Ca  0.333  0.500  0.333
Ca  0.329  0.000  0.341
Ca  0.000  0.500  0.000

Results
DFT formation energy (kJ/mol of atoms): -89.8
Symmetry: No. 10

=====

Record 14
Computed, not measured: Hg3PPd after structural relaxation at the PBE level of DFT.

a = 5.080 Å, b = 5.080 Å, c = 5.080 Å
α = 90.00°, β = 90.00°, γ = 90.00°
Atoms (fractional coordinates):
Hg  0.000  0.500  0.000
Hg  0.000  0.000  0.500
Hg  0.500  0.000  0.000
Pd  0.500  0.500  0.500
P  0.000  0.000  0.000

Results
DFT formation energy (kJ/mol of atoms): 56.4
Symmetry: No. 221

=====

Record 15
Computed, not measured: KNa2Hg8 after structural relaxation at the PBE level of DFT.

a = 5.525 Å, b = 6.807 Å, c = 9.618 Å
α = 112.53°, β = 108.87°, γ = 84.13°
Atoms (fractional coordinates):
Hg  0.847  0.631  0.713
Hg  0.866  0.082  0.713
Hg  0.291  0.791  0.582
Hg  0.153  0.369  0.287
Hg  0.134  0.918  0.287
Hg  0.709  0.209  0.418
Hg  0.759  0.433  0.000
Hg  0.241  0.567  0.000
Na  0.679  0.679  0.358
Na  0.321  0.321  0.642
K  0.500  0.000  0.000

Results
DFT formation energy (kJ/mol of atoms): -19.2
Symmetry: No. 12

=====

Record 16
Computed, not measured: CaMg9Pt2 after structural relaxation at the PBE level of DFT.

a = 7.618 Å, b = 9.104 Å, c = 9.104 Å
α = 79.92°, β = 65.27°, γ = 65.27°
Atoms (fractional coordinates):
Mg  0.130  0.180  0.425
Mg  0.690  0.180  0.575
Mg  0.735  0.820  0.575
Mg  0.620  0.320  0.075
Mg  0.445  0.820  0.425
Mg  0.000  0.000  0.000
Mg  0.015  0.925  0.680
Mg  0.305  0.680  0.075
Mg  0.015  0.680  0.925
Mg  0.750  0.500  0.500
Mg  0.130  0.425  0.180
Mg  0.735  0.575  0.820
Mg  0.445  0.425  0.820
Mg  0.060  0.925  0.320
Mg  0.060  0.320  0.925
Mg  0.305  0.075  0.680
Mg  0.620  0.075  0.320
Mg  0.690  0.575  0.180
Pt  0.875  0.750  0.250
Pt  0.375  0.750  0.750
Pt  0.875  0.250  0.250
Pt  0.875  0.250  0.750
Ca  0.500  0.000  0.000
Ca  0.250  0.500  0.500

Results
DFT formation energy (kJ/mol of atoms): -36.3
Symmetry: No. 141

=====

Record 17
Computed, not measured: Sr4Re after structural relaxation at the PBE level of DFT.

a = 6.049 Å, b = 6.049 Å, c = 6.049 Å
α = 90.00°, β = 90.00°, γ = 90.00°
Site moments in Bohr magnetons follow the coordinates.
Atoms (fractional coordinates):
Sr  0.000  0.500  0.500  0.01
Sr  0.500  0.000  0.500  0.01
Sr  0.500  0.500  0.000  0.01
Sr  0.000  0.000  0.000  -0.01
Re  0.500  0.500  0.500  1.47

Results
DFT formation energy (kJ/mol of atoms): 61.2
Symmetry: No. 221

=====

Record 18
Computed, not measured: PrTm2Cl after structural relaxation at the PBE level of DFT.

a = 3.431 Å, b = 3.431 Å, c = 11.312 Å
α = 81.28°, β = 81.28°, γ = 60.00°
Atoms (fractional coordinates):
Pr  0.000  0.000  0.000
Cl  0.500  0.500  0.500
Tm  0.101  0.101  0.697
Tm  0.899  0.899  0.303

Results
Uncorrected energy (eV per atom): -4.247
Symmetry: No. 166

=====

Record 19
Computed, not measured: KBe2Cd after structural relaxation at the PBE level of DFT.

a = 5.182 Å, b = 5.182 Å, c = 5.182 Å
α = 128.13°, β = 109.65°, γ = 92.64°
Atoms (fractional coordinates):
K  0.250  0.750  0.500
Be  0.897  0.897  0.000
Be  0.603  0.603  0.000
Cd  0.750  0.250  0.500

Results
DFT formation energy (kJ/mol of atoms): 77.6
Symmetry: No. 71

=====

Record 20
Computed, not measured: TcHIrRu2 after structural relaxation at the PBE level of DFT.

a = 3.882 Å, b = 3.882 Å, c = 3.908 Å
α = 90.00°, β = 90.00°, γ = 90.00°
Atoms (fractional coordinates):
H  0.000  0.000  0.000
Ir  0.500  0.500  0.500
Ru  0.500  0.000  0.000
Ru  0.000  0.500  0.000
Tc  0.000  0.000  0.500

Results
Uncorrected energy (eV per atom): -8.215
Symmetry: No. 123